# MnAl3S

A relaxed MnAl3S crystal (PBE-GGA, Alexandria via LeMat-Bulk).

Cell: 4.5086 4.5086 4.5086 Å, 90.00 90.00 90.00°
Closest atoms and distances in Å follow each position.
Sites, in units of the cell vectors:
Mn  0.0000  0.0000  0.0000  12 Al 3.19
Al  0.0000  0.5000  0.5000  2 S 2.25
Al  0.5000  0.0000  0.5000  2 S 2.25
Al  0.5000  0.5000  0.0000  2 S 2.25
S  0.5000  0.5000  0.5000  6 Al 2.25

Values from the calculation:
calculated total energy	-19.66	eV/cell
symmetry	Pm-3m, No. 221



# Sm4TlSbSe2

A relaxed Sm4TlSbSe2 crystal (PBE-GGA, Alexandria via LeMat-Bulk).

Cell: 7.4976 4.2593 7.5905 Å, 90.00 108.63 90.00°
Closest atoms and distances in Å follow each position.
Sites, in units of the cell vectors:
Sm  0.2426  0.0000  0.2349  3 Se 2.99-3.02, 1 Sb 3.11, 2 Tl 3.13
Sm  0.2537  0.5000  0.7607  3 Se 3.02, 1 Tl 3.11, 2 Sb 3.11
Sm  0.7463  0.5000  0.2393  3 Se 3.02, 1 Tl 3.11, 2 Sb 3.11
Sm  0.7574  0.0000  0.7651  3 Se 2.99-3.02, 1 Sb 3.11, 2 Tl 3.13
Tl  0.5000  0.5000  0.5000  6 Sm 3.11-3.13
Sb  0.0000  0.0000  0.5000  6 Sm 3.11
Se  0.0000  0.5000  0.0000  6 Sm 2.99-3.02
Se  0.5000  0.0000  0.0000  6 Sm 3.02

Values from the calculation:
calculated total energy	-42.49	eV/cell
symmetry	P2/m, No. 10



# Pm8RuRh3I4

A relaxed Pm8RuRh3I4 crystal (PBE-GGA, Alexandria via LeMat-Bulk).

Cell: 8.2889 8.2889 9.4326 Å, 116.17 116.17 59.92°
Closest atoms and distances in Å follow each position.
Sites, in units of the cell vectors:
Pm  0.2261  0.2261  0.6856  1 Ru 2.80, 2 Rh 2.84
Pm  0.2261  0.7336  0.6857  1 Ru 2.80, 2 Rh 2.84
Pm  0.2664  0.7739  0.3143  1 Ru 2.80, 2 Rh 2.84
Pm  0.2722  0.2722  0.3165  3 Rh 2.82
Pm  0.7278  0.7278  0.6835  3 Rh 2.82
Pm  0.7336  0.2261  0.6857  1 Ru 2.80, 2 Rh 2.84
Pm  0.7739  0.2664  0.3143  1 Ru 2.80, 2 Rh 2.84
Pm  0.7739  0.7739  0.3144  1 Ru 2.80, 2 Rh 2.84
Ru  0.0000  0.0000  0.5000  6 Pm 2.80
Rh  0.0000  0.5000  0.5000  6 Pm 2.82-2.84
Rh  0.5000  0.0000  0.5000  6 Pm 2.82-2.84
Rh  0.5000  0.5000  0.5000  6 Pm 2.82-2.84
I  0.0000  0.0000  0.0000  6 Pm 3.49-3.51
I  0.0000  0.5000  0.0000  6 Pm 3.48-3.51
I  0.5000  0.0000  0.0000  6 Pm 3.48-3.51
I  0.5000  0.5000  0.0000  6 Pm 3.52

Values from the calculation:
calculated total energy	-89.52	eV/cell
symmetry	C2/m, No. 12



# Sm2LuBr

A relaxed Sm2LuBr crystal (PBE-GGA, Alexandria via LeMat-Bulk).

Cell: 3.6625 3.6625 31.2131 Å, 90.00 90.00 120.00°
Closest atoms and distances in Å follow each position.
Sites, in units of the cell vectors:
Sm  0.0000  0.0000  0.2434  3 Br 3.20, 3 Lu 3.51
Sm  0.0000  0.0000  0.7566  3 Br 3.20, 3 Lu 3.51
Sm  0.3333  0.6667  0.4233  3 Br 3.20, 3 Lu 3.51
Sm  0.3333  0.6667  0.9101  3 Br 3.20, 3 Lu 3.51
Sm  0.6667  0.3333  0.0899  3 Br 3.20, 3 Lu 3.51
Sm  0.6667  0.3333  0.5767  3 Br 3.20, 3 Lu 3.51
Lu  0.0000  0.0000  0.0000  6 Sm 3.51, 6 Lu 3.66
Lu  0.3333  0.6667  0.6667  6 Sm 3.51, 6 Lu 3.66
Lu  0.6667  0.3333  0.3333  6 Sm 3.51, 6 Lu 3.66
Br  0.0000  0.0000  0.5000  6 Sm 3.20
Br  0.3333  0.6667  0.1667  6 Sm 3.20
Br  0.6667  0.3333  0.8333  6 Sm 3.20

Values from the calculation:
calculated total energy	-53.21	eV/cell
symmetry	R-3m, No. 166



# Ag2PdI6

A relaxed Ag2PdI6 crystal (PBE-GGA, Alexandria via LeMat-Bulk).

Cell: 7.3627 7.3627 7.3737 Å, 90.00 90.00 120.00°
Closest atoms and distances in Å follow each position.
Sites, in units of the cell vectors:
Ag  0.3333  0.6667  0.0000  6 I 3.04
Ag  0.6667  0.3333  0.0000  6 I 3.04
Pd  0.0000  0.0000  0.0000  6 I 2.72
I  0.0000  0.2992  0.2170  1 Pd 2.72, 2 Ag 3.04
I  0.0000  0.7008  0.7830  1 Pd 2.72, 2 Ag 3.04
I  0.2992  0.0000  0.2170  1 Pd 2.72, 2 Ag 3.04
I  0.2992  0.2992  0.7830  1 Pd 2.72, 2 Ag 3.04
I  0.7008  0.0000  0.7830  1 Pd 2.72, 2 Ag 3.04
I  0.7008  0.7008  0.2170  1 Pd 2.72, 2 Ag 3.04

Values from the calculation:
calculated total energy	-21.37	eV/cell
symmetry	P-31m, No. 162



# Te2Os

A relaxed Te2Os crystal (PBE-GGA, Alexandria via LeMat-Bulk).

Cell: 6.5330 6.5330 6.5330 Å, 90.00 90.00 90.00°
Closest atoms and distances in Å follow each position.
Sites, in units of the cell vectors:
Te  0.2500  0.2500  0.2500  4 Os 2.83
Te  0.2500  0.2500  0.7500  4 Os 2.83
Te  0.2500  0.7500  0.2500  4 Os 2.83
Te  0.2500  0.7500  0.7500  4 Os 2.83
Te  0.7500  0.2500  0.2500  4 Os 2.83
Te  0.7500  0.2500  0.7500  4 Os 2.83
Te  0.7500  0.7500  0.2500  4 Os 2.83
Te  0.7500  0.7500  0.7500  4 Os 2.83
Os  0.0000  0.0000  0.0000  8 Te 2.83
Os  0.0000  0.5000  0.5000  8 Te 2.83
Os  0.5000  0.0000  0.5000  8 Te 2.83
Os  0.5000  0.5000  0.0000  8 Te 2.83

Values from the calculation:
calculated total energy	-67.18	eV/cell
symmetry	Fm-3m, No. 225



# Rb4SnPb4

A relaxed Rb4SnPb4 crystal (PBE-GGA, Alexandria via LeMat-Bulk).

Cell: 9.6179 9.6179 9.6179 Å, 135.34 135.34 65.01°
Closest atoms and distances in Å follow each position.
Sites, in units of the cell vectors:
Rb  0.0675  0.7026  0.0000  5 Pb 3.67-4.11, 1 Rb 3.77, 1 Sn 3.78
Rb  0.2974  0.2974  0.3649  5 Pb 3.67-4.11, 1 Rb 3.77, 1 Sn 3.78
Rb  0.7026  0.0675  0.0000  5 Pb 3.67-4.11, 1 Rb 3.77, 1 Sn 3.78
Rb  0.9325  0.9325  0.6351  5 Pb 3.67-4.11, 1 Rb 3.77, 1 Sn 3.78
Sn  0.5000  0.5000  0.0000  4 Pb 3.04
Pb  0.1862  0.1862  0.6916  1 Sn 3.04, 1 Pb 3.19
Pb  0.4946  0.4946  0.3084  1 Sn 3.04, 1 Pb 3.19
Pb  0.5054  0.8138  0.0000  1 Sn 3.04, 1 Pb 3.19
Pb  0.8138  0.5054  0.0000  1 Sn 3.04, 1 Pb 3.19

Values from the calculation:
calculated total energy	-22.25	eV/cell
formation energy from the elements	0.051	eV per atom
symmetry	I-42m, No. 121



# KLi2Ir

A relaxed KLi2Ir crystal (PBE-GGA, Alexandria via LeMat-Bulk).

Cell: 2.6730 4.6009 16.1968 Å, 90.00 90.00 90.00°
Closest atoms and distances in Å follow each position.
Sites, in units of the cell vectors:
K  0.0000  0.0000  0.0000  2 K 2.67
K  0.5000  0.5000  0.5000  2 K 2.67
Li  0.0000  0.0000  0.6858  2 Ir 2.54, 2 Li 2.67
Li  0.0000  0.5000  0.8082  4 Ir 2.67, 2 Li 2.67
Li  0.5000  0.0000  0.3082  4 Ir 2.67, 2 Li 2.67
Li  0.5000  0.5000  0.1858  2 Ir 2.54, 2 Li 2.67
Ir  0.0000  0.5000  0.3195  6 Li 2.54-2.67, 2 Ir 2.67
Ir  0.5000  0.0000  0.8195  6 Li 2.54-2.67, 2 Ir 2.67

Values from the calculation:
calculated total energy	-25.47	eV/cell
formation energy from the elements	0.263	eV per atom
symmetry	Imm2, No. 44



# ThAlAu3

A relaxed ThAlAu3 crystal (PBE-GGA, Alexandria via LeMat-Bulk).

Cell: 5.8397 12.6392 5.7243 Å, 90.00 90.00 90.00°
Closest atoms and distances in Å follow each position.
Sites, in units of the cell vectors:
Th  0.0000  0.0000  0.0000  10 Au 3.12-3.34
Th  0.0000  0.5000  0.0000  10 Au 3.12-3.34
Th  0.5000  0.0000  0.5000  10 Au 3.12-3.34
Th  0.5000  0.5000  0.5000  10 Au 3.12-3.34
Al  0.1954  0.2500  0.1906  6 Au 2.63-2.75
Al  0.3046  0.7500  0.6906  6 Au 2.63-2.75
Al  0.6954  0.2500  0.3094  6 Au 2.63-2.75
Al  0.8046  0.7500  0.8094  6 Au 2.63-2.75
Au  0.0195  0.6101  0.5127  2 Al 2.63-2.75, 2 Au 2.80-2.92
Au  0.0195  0.8899  0.5127  2 Al 2.63-2.75, 2 Au 2.80-2.92
Au  0.1320  0.7500  0.1243  2 Al 2.63-2.68, 2 Au 2.92
Au  0.3680  0.2500  0.6243  2 Al 2.63-2.68, 2 Au 2.92
Au  0.4805  0.1101  0.0127  2 Al 2.63-2.75, 2 Au 2.80-2.92
Au  0.4805  0.3899  0.0127  2 Al 2.63-2.75, 2 Au 2.80-2.92
Au  0.5195  0.6101  0.9873  2 Al 2.63-2.75, 2 Au 2.80-2.92
Au  0.5195  0.8899  0.9873  2 Al 2.63-2.75, 2 Au 2.80-2.92
Au  0.6320  0.7500  0.3757  2 Al 2.63-2.68, 2 Au 2.92
Au  0.8680  0.2500  0.8757  2 Al 2.63-2.68, 2 Au 2.92
Au  0.9805  0.1101  0.4873  2 Al 2.63-2.75, 2 Au 2.80-2.92
Au  0.9805  0.3899  0.4873  2 Al 2.63-2.75, 2 Au 2.80-2.92

Values from the calculation:
calculated total energy	-94.89	eV/cell
formation energy from the elements	-0.546	eV per atom
symmetry	Pnma, No. 62



# Rb2Tl3MoSe6

A relaxed Rb2Tl3MoSe6 crystal (PBE-GGA, Alexandria via LeMat-Bulk).

Cell: 8.4165 8.4165 7.2730 Å, 100.37 100.37 124.54°
Closest atoms and distances in Å follow each position.
Sites, in units of the cell vectors:
Rb  0.1791  0.8209  0.0000  6 Se 3.44-3.49
Rb  0.8209  0.1791  0.0000  6 Se 3.44-3.49
Tl  0.0000  0.0000  0.5000  4 Se 2.99
Tl  0.3701  0.6299  0.5000  4 Se 2.90-2.99
Tl  0.6299  0.3701  0.5000  4 Se 2.90-2.99
Mo  0.5000  0.5000  0.0000  6 Se 2.55-2.61
Se  0.1743  0.4151  0.7713  1 Mo 2.55
Se  0.2879  0.2879  0.2027  1 Mo 2.61, 2 Tl 2.90
Se  0.4151  0.1743  0.7713  1 Mo 2.55
Se  0.5849  0.8257  0.2287  1 Mo 2.55
Se  0.7121  0.7121  0.7973  1 Mo 2.61, 2 Tl 2.90
Se  0.8257  0.5849  0.2287  1 Mo 2.55

Values from the calculation:
calculated total energy	-47.14	eV/cell
symmetry	C2/m, No. 12



# Sm8HoSc3

A relaxed Sm8HoSc3 crystal (PBE-GGA, Alexandria via LeMat-Bulk).

Cell: 6.7446 7.0342 8.5660 Å, 77.81 76.43 74.73°
Closest atoms and distances in Å follow each position.
Sites, in units of the cell vectors:
Sm  0.0000  0.0000  0.0000  4 Sc 3.42-3.62, 6 Sm 3.48-3.75, 1 Ho 3.74
Sm  0.0069  0.4928  0.0012  7 Sm 3.46-3.69, 3 Sc 3.50-3.64, 1 Ho 3.74
Sm  0.1493  0.1239  0.3553  4 Sc 3.32-3.52, 5 Sm 3.46-3.69, 2 Ho 3.51-3.52
Sm  0.3031  0.2576  0.6669  4 Sc 3.18-3.52, 1 Ho 3.43, 6 Sm 3.46-3.55
Sm  0.4769  0.6243  0.9968  4 Sc 3.18-3.55, 1 Ho 3.35, 5 Sm 3.46-3.54
Sm  0.6244  0.7647  0.3090  4 Sc 3.33-3.54, 5 Sm 3.46-3.69, 2 Ho 3.50-3.53
Sm  0.7650  0.3936  0.6602  8 Sm 3.48-3.89, 3 Sc 3.49-3.71, 1 Ho 3.64
Sm  0.7719  0.8888  0.6650  4 Sc 3.44-3.72, 6 Sm 3.51-3.75, 1 Ho 3.65
Ho  0.1468  0.6235  0.3567  10 Sm 3.35-3.74, 2 Sc 3.46-3.56
Sc  0.2994  0.7591  0.6685  10 Sm 3.18-3.55, 1 Ho 3.46
Sc  0.4752  0.1288  0.9985  10 Sm 3.18-3.56, 1 Sc 3.43
Sc  0.6289  0.2613  0.3075  10 Sm 3.34-3.72, 1 Sc 3.43, 1 Ho 3.56

Values from the calculation:
calculated total energy	-60.73	eV/cell
formation energy from the elements	0.049	eV per atom
symmetry	P1, No. 1



# V2ZnGePd

A relaxed V2ZnGePd crystal (PBE-GGA, Alexandria via LeMat-Bulk).

Cell: 4.6132 4.6132 4.5309 Å, 90.00 90.00 90.00°
Closest atoms and distances in Å follow each position.
Sites, in units of the cell vectors:
V  0.0000  0.5000  0.0000  2 Zn 2.31
V  0.5000  0.0000  0.0000  2 Zn 2.31
Zn  0.0000  0.0000  0.0000  2 Pd 2.27, 4 V 2.31
Ge  0.5000  0.5000  0.5000  8 V 3.23, 4 Pd 3.26
Pd  0.0000  0.0000  0.5000  2 Zn 2.27

Values from the calculation:
calculated total energy	-24.45	eV/cell
formation energy from the elements	0.975	eV per atom
symmetry	P4/mmm, No. 123